[1]
DFT (PBE) results for an optimized crystal structure of CsBRu3.

The value obtained for the raw total energy is -29.6 eV/cell. Its energy of formation is 1153 meV/atom. The relative energy among the computed polymorphs is 0 kJ/mol of formula units.

a = 4.3305 Å, b = 4.3305 Å, c = 4.3305 Å
α = 90.00°, β = 90.00°, γ = 90.00°
Closest atoms and distances in Å follow each position.
Sites, in units of the cell vectors:
Cs (0.5000, 0.5000, 0.5000)  12 Ru 3.06
Ru (0.0000, 0.5000, 0.0000)  2 B 2.17
Ru (0.0000, 0.0000, 0.5000)  2 B 2.17
Ru (0.5000, 0.0000, 0.0000)  2 B 2.17
B (0.0000, 0.0000, 0.0000)  6 Ru 2.17

=====

[2]
DFT (PBE) results for an optimized crystal structure of CsB2Ru2.

The value obtained for the raw total energy is -31.8 eV/cell. Its energy of formation is 192 meV/atom.

a = 4.1456 Å, b = 4.1456 Å, c = 7.2353 Å
α = 73.35°, β = 73.35°, γ = 90.00°
Closest atoms and distances in Å follow each position.
Sites, in units of the cell vectors:
Cs (0.0000, 0.0000, 0.0000)  2 Ru 3.39
Ru (0.2566, 0.2566, 0.4868)  4 B 2.07
Ru (0.7434, 0.7434, 0.5132)  4 B 2.07
B (0.7500, 0.2500, 0.5000)  4 Ru 2.07
B (0.2500, 0.7500, 0.5000)  4 Ru 2.07